# MgTaPO2, relaxed, DFT PBE
# * DOS at the Fermi energy: 0.1 states/eV/f.u.
# * theoretical density: 5.6 g/cm³
# * energy above the lowest structure with this stoichiometry: 0 kJ/mol of formula units
# * formation energy without anion corrections: -165 kJ/mol of atoms
data_MgTaPO2
_cell_length_a 3.9032
_cell_length_b 3.9032
_cell_length_c 5.2279
_cell_angle_alpha 90.00
_cell_angle_beta 90.00
_cell_angle_gamma 90.00
_space_group_name_H-M_alt 'P 4/m m m'
_space_group_IT_number 123
_space_group_name_Hall '-P 4 2'
loop_
_atom_site_label
_atom_site_type_symbol
_atom_site_fract_x
_atom_site_fract_y
_atom_site_fract_z
Mg1 Mg 0.0000 0.0000 0.0000
Ta1 Ta 0.5000 0.5000 0.5000
P1 P 0.5000 0.5000 0.0000
O1 O 0.0000 0.5000 0.5000

***

# K6AuO2, relaxed, DFT PBE
# * DOS at the Fermi energy: 3.5 states/eV/f.u.
# * theoretical density: 2.4 g/cm³
# * formation energy without anion corrections: -72 kJ/mol of atoms
data_K6AuO2
_cell_length_a 13.8535
_cell_length_b 5.2996
_cell_length_c 10.0422
_cell_angle_alpha 90.00
_cell_angle_beta 119.35
_cell_angle_gamma 90.00
_space_group_name_H-M_alt 'C 1 2/m 1'
_space_group_IT_number 12
_space_group_name_Hall '-C 2y'
loop_
_atom_site_label
_atom_site_type_symbol
_atom_site_fract_x
_atom_site_fract_y
_atom_site_fract_z
K1 K 0.0198 0.0000 0.1722
K2 K 0.1794 0.5000 0.6347
K3 K 0.2133 0.5000 0.0700
Au1 Au 0.0000 0.0000 0.5000
O1 O 0.1704 0.0000 0.0847

***

# PuAu6, relaxed, DFT PBE
# * DOS at the Fermi energy: 24.4 states/eV/f.u.
# * energy of formation from the pure elements: 714.9 meV/atom
# * theoretical density: 8.8 g/cm³
# * energy above the lowest structure with this stoichiometry: 626 kJ/mol of formula units
data_PuAu6
_cell_length_a 6.4498
_cell_length_b 6.4498
_cell_length_c 6.4498
_cell_angle_alpha 90.00
_cell_angle_beta 90.00
_cell_angle_gamma 90.00
_space_group_name_H-M_alt 'P m -3 m'
_space_group_IT_number 221
_space_group_name_Hall '-P 4 2 3'
loop_
_atom_site_label
_atom_site_type_symbol
_atom_site_fract_x
_atom_site_fract_y
_atom_site_fract_z
Pu1 Pu 0.0000 0.0000 0.0000
Au1 Au 0.1962 0.5000 0.5000

***

# Nd5TlSe6, relaxed, DFT PBE
# * DOS at the Fermi energy: 5.6 states/eV/f.u.
# * theoretical density: 7.0 g/cm³
# * formation energy without anion corrections: -159 kJ/mol of atoms
data_Nd5TlSe6
_cell_length_a 7.4075
_cell_length_b 12.8087
_cell_length_c 7.4650
_cell_angle_alpha 90.00
_cell_angle_beta 109.39
_cell_angle_gamma 90.00
_space_group_name_H-M_alt 'C 1 2/m 1'
_space_group_IT_number 12
_space_group_name_Hall '-C 2y'
loop_
_atom_site_label
_atom_site_type_symbol
_atom_site_fract_x
_atom_site_fract_y
_atom_site_fract_z
Nd1 Nd 0.0000 0.0000 0.0000
Nd2 Nd 0.0000 0.1663 0.5000
Nd3 Nd 0.0000 0.3417 0.0000
Tl1 Tl 0.0000 0.5000 0.5000
Se1 Se 0.2402 0.0000 0.7484
Se2 Se 0.2416 0.1721 0.2407